## La2HIrSe (GGA-PBE)

Data for a relaxed La2HIrSe crystal.

Summary:
* magnetization: 0.0 Bohr magnetons per cell
* total DFT energy (no corrections): -0.223 hartree per atom
* crystal system: tetragonal

a b c (Å): 5.2941 5.2941 3.6392
angles (deg): 90.00 90.00 90.00
Space group P4/mmm (No. 123)
Inequivalent atoms, fractional coordinates:
La 0.0000 0.5000 0.0000 x2
H 0.0000 0.0000 0.0000 x1
Ir 0.0000 0.0000 0.5000 x1
Se 0.5000 0.5000 0.5000 x1